1.
Computed, not measured: AsSO3 after structural relaxation at the GGA-PBE level of DFT.

```
5
Lattice="3.7624 0.0000 0.0000 0.0000 3.7624 0.0000 0.0000 0.0000 3.7624" Properties=species:S:1:pos:R:3 pbc="T T T"
As 0.0000 0.0000 0.0000
S 1.8812 1.8812 1.8812
O 0.0000 0.0000 1.8812
O 0.0000 1.8812 0.0000
O 1.8812 0.0000 0.0000
```

## Properties
Uncorrected energy = -4.58 eV per atom


2.
Computed, not measured: As2SeSO after structural relaxation at the GGA-PBE level of DFT.

```
5
Lattice="4.7967 0.0000 0.0000 0.0000 4.7967 0.0000 0.0000 0.0000 4.6923" Properties=species:S:1:pos:R:3 pbc="T T T"
As 0.0000 2.3983 0.0000
As 2.3983 0.0000 0.0000
Se 0.0000 0.0000 2.3461
S 0.0000 0.0000 0.0000
O 2.3983 2.3983 2.3461
```

## Properties
Offset from the most stable computed form = 0.5382 eV per atom
Uncorrected energy = -3.17 eV per atom


What formation energy from raw total energies values result from the calculations? In sequence: 0.74, 6.00 eV per formula unit.
What magnetic moment values result from the calculations? In sequence: 0.00, 0.00 μB/f.u..